This record from the Alexandria database describes a geometry-optimized Nd2HoEr7 structure. The functional is PBE-GGA.

formation enthalpy at 0 K	0.16	eV per atom
SG	Cmmm
theoretical density	8.334	Mg/m³
magnetic moment	0.00	Bohr magnetons per cell

Lattice parameters (Å, degrees): 3.4999 14.6963 14.6963 154.65 90.00 90.00
Closest atoms and distances in Å follow each position.
Fractional coordinates of all 10 atoms:
Nd1 0.5000 0.7082 0.2918  2 Nd 3.50, 8 Er 3.56-3.73
Nd2 0.5000 0.2918 0.7082  2 Nd 3.50, 8 Er 3.56-3.73
Ho1 0.0000 0.0000 0.0000  2 Ho 3.50, 12 Er 3.66-3.67
Er1 0.0000 0.8162 0.1838  6 Er 3.42-3.50, 6 Nd 3.56-3.73
Er2 0.0000 0.1838 0.8162  6 Er 3.42-3.50, 6 Nd 3.56-3.73
Er3 0.5000 0.1484 0.3433  7 Er 3.17-3.50
Er4 0.5000 0.8516 0.6567  7 Er 3.17-3.50
Er5 0.5000 0.3433 0.1484  7 Er 3.17-3.50
Er6 0.5000 0.6567 0.8516  7 Er 3.17-3.50
Er7 0.5000 0.5000 0.5000  6 Er 3.24-3.50